[1]
# Sr2GaHg12, relaxed, DFT PBE
data_Sr2GaHg12
_space_group_name_H-M_alt 'P 4/n b m'
_space_group_IT_number 125
_cell_length_a 6.859
_cell_length_b 6.859
_cell_length_c 17.973
_cell_angle_alpha 90.00
_cell_angle_beta 90.00
_cell_angle_gamma 90.00
loop_
_space_group_symop_operation_xyz
'x,y,z'
'-x,-y,-z'
'-y+1/2,x,z'
'y+1/2,-x,-z'
'-x+1/2,-y+1/2,z'
'x+1/2,y+1/2,-z'
'y,-x+1/2,z'
'-y,x+1/2,-z'
'x,-y+1/2,-z'
'-x,y+1/2,z'
'-y+1/2,-x+1/2,-z'
'y+1/2,x+1/2,z'
'-x+1/2,y,-z'
'x+1/2,-y,z'
'y,x,-z'
'-y,-x,z'
loop_
_atom_site_label
_atom_site_type_symbol
_atom_site_fract_x
_atom_site_fract_y
_atom_site_fract_z
Sr1 Sr 0.250 0.750 0.241
Ga1 Ga 0.250 0.750 0.000
Hg1 Hg 0.000 0.000 0.089
Hg2 Hg 0.091 0.591 0.431
Hg3 Hg 0.250 0.250 0.187
Hg4 Hg 0.250 0.250 0.346
# Energy of formation from the pure elements, eV per atom: -0.179
# Mass density, g/cm3: 10.4
# Density of states at the Fermi level, states/eV per cell: 9.66

***

[2]
# SrGaHg2, relaxed, DFT PBE
data_SrGaHg2
_space_group_name_H-M_alt 'P 4/m m m'
_space_group_IT_number 123
_space_group_name_Hall '-P 4 2'
_cell_length_a 3.830
_cell_length_b 3.830
_cell_length_c 7.238
_cell_angle_alpha 90.00
_cell_angle_beta 90.00
_cell_angle_gamma 90.00
loop_
_atom_site_label
_atom_site_type_symbol
_atom_site_fract_x
_atom_site_fract_y
_atom_site_fract_z
Sr1 Sr 0.000 0.000 0.000
Ga1 Ga 0.000 0.000 0.500
Hg1 Hg 0.500 0.500 0.279
# Energy of formation from the pure elements, eV per atom: -0.282
# Mass density, g/cm3: 8.7
# Density of states at the Fermi level, states/eV per cell: 2.06

***

[3]
# SrGa3Hg3, relaxed, DFT PBE
data_SrGa3Hg3
_space_group_name_H-M_alt 'P m -3 n'
_space_group_IT_number 223
_space_group_name_Hall '-P 4n 2 3'
_cell_length_a 7.499
_cell_length_b 7.499
_cell_length_c 7.499
_cell_angle_alpha 90.00
_cell_angle_beta 90.00
_cell_angle_gamma 90.00
loop_
_atom_site_label
_atom_site_type_symbol
_atom_site_fract_x
_atom_site_fract_y
_atom_site_fract_z
Sr1 Sr 0.000 0.000 0.000
Ga1 Ga 0.000 0.250 0.500
Hg1 Hg 0.000 0.500 0.250
# Energy of formation from the pure elements, eV per atom: -0.002
# Mass density, g/cm3: 7.1
# Density of states at the Fermi level, states/eV per cell: 3.29

***

[4]
# Sr2GaHg16, relaxed, DFT PBE
data_Sr2GaHg16
_space_group_name_H-M_alt 'R 3 m'
_space_group_IT_number 160
_space_group_name_Hall 'R 3 -2"'
_cell_length_a 10.1485
_cell_length_b 10.1485
_cell_length_c 17.3779
_cell_angle_alpha 90.00
_cell_angle_beta 90.00
_cell_angle_gamma 120.00
loop_
_atom_site_label
_atom_site_type_symbol
_atom_site_fract_x
_atom_site_fract_y
_atom_site_fract_z
Sr1 Sr 0.0000 0.0000 0.0000
Sr2 Sr 0.0000 0.0000 0.3211
Ga1 Ga 0.0000 0.0000 0.6219
Hg1 Hg 0.0000 0.0000 0.7895
Hg2 Hg 0.0001 0.3030 0.6812
Hg3 Hg 0.0385 0.5192 0.5443
Hg4 Hg 0.0906 0.5453 0.8193
Hg5 Hg 0.1017 0.5508 0.1670
# Energy of formation from the pure elements, eV per atom: -0.159
# Mass density, g/cm3: 11.1
# Density of states at the Fermi level, states/eV per cell: 20.56